PBE ErTiBi2, relaxed; DOS(E_F) = 1.06 states/eV/atom; ΔE_f = 46.0 meV per atom; volume = 28.11 Å³ per atom; E = -20.036 eV for the cell shown; size of the total moment = 0.00 Bohr magnetons per cell
1.0
3.4779 0.0000 0.0000
1.7389 3.0119 0.0000
1.7389 1.0040 10.7329
Bi Ti Er
2 1 1
direct
0.0988 0.0988 0.7036
0.9012 0.9012 0.2964
0.5000 0.5000 0.5000
0.0000 0.0000 0.0000